[1]
First-principles (GGA-PBE) data for crystalline KYNbSi2 at its relaxed geometry, as listed in Alexandria via LeMat-Bulk.

```
KYNbSi2
1.0
5.4586 0.0000 0.0000
0.0000 5.4586 0.0000
0.0000 0.0000 5.2982
Nb Si Y K
1 2 1 1
Direct
0.0000 0.0000 0.5000
0.5000 0.0000 0.0000
0.0000 0.5000 0.0000
0.0000 0.0000 0.0000
0.5000 0.5000 0.5000
```

Output
E_form (uncorrected): 1.197 eV per atom
ρ: 2.9 g/cm³
Calculated total energy: -22.493 eV/f.u.

[2]
First-principles (GGA-PBE) data for crystalline Pt2I3Cl4 at its relaxed geometry, as listed in Alexandria via LeMat-Bulk.

```
Pt2I3Cl4
1.0
-9.2823 3.7347 -1.4073
-8.6623 -1.1687 5.0682
-1.8143 6.2353 4.8952
I Cl Pt
6 8 4
Direct
0.7278 0.7262 0.0224
0.7262 0.7278 0.5224
0.2738 0.2722 0.4776
0.2722 0.2738 0.9776
0.4984 0.5016 0.7500
0.5016 0.4984 0.2500
0.8733 0.3528 0.8857
0.3528 0.8733 0.3857
0.9350 0.3138 0.3762
0.6862 0.0650 0.1238
0.6472 0.1267 0.6143
0.0650 0.6862 0.6238
0.3138 0.9350 0.8762
0.1267 0.6472 0.1143
0.6504 0.5983 0.3753
0.5983 0.6504 0.8753
0.4017 0.3496 0.1247
0.3496 0.4017 0.6247
```

Output
E_form (uncorrected): -0.209 eV per atom
ρ: 5.5 g/cm³
Calculated total energy: -25.998 eV/f.u.

[3]
First-principles (GGA-PBE) data for crystalline Li2Cd2Br at its relaxed geometry, as listed in Alexandria via LeMat-Bulk.

```
Li2Cd2Br
1.0
-4.1126 -0.1235 -0.5193
-0.1861 -3.4496 2.2943
-3.0060 2.1496 6.7364
Br Cd Li
1 2 2
Direct
0.0000 0.0000 0.0000
0.6061 0.6061 0.7878
0.3939 0.3939 0.2122
0.7500 0.2500 0.5000
0.2500 0.7500 0.5000
```

Output
Energy above the lowest structure with this stoichiometry: 62.6 meV per atom
E_form (uncorrected): -0.188 eV per atom
ρ: 4.3 g/cm³
Calculated total energy: -8.270 eV/f.u.

[4]
First-principles (GGA-PBE) data for crystalline ScBe3Cd at its relaxed geometry, as listed in Alexandria via LeMat-Bulk.

```
ScBe3Cd
1.0
-0.8362 0.2142 4.2722
1.7790 -3.9414 0.5458
3.8901 1.8484 0.6688
Cd Be Sc
1 3 1
Direct
0.0000 0.0000 0.0000
0.0000 0.0000 0.5000
0.5000 0.0000 0.0000
0.0000 0.5000 0.0000
0.5000 0.5000 0.5000
```

Output
Energy above the lowest structure with this stoichiometry: 0.0 meV per atom
E_form: 0.7261 eV/atom
ρ: 3.7 g/cm³
Calculated total energy: -14.795 eV/f.u.

[5]
First-principles (GGA-PBE) data for crystalline CsY2MnSe4 at its relaxed geometry, as listed in Alexandria via LeMat-Bulk.

```
CsY2MnSe4
1.0
-2.9735 -0.7935 -2.8437
6.1709 -3.9987 -2.2497
-4.5052 -11.3911 7.8893
Mn Y Se Cs
2 4 8 2
Direct
0.1702 0.3404 0.2500
0.8298 0.6596 0.7500
0.3690 0.7379 0.9404
0.6310 0.2621 0.4404
0.3690 0.7379 0.5596
0.6310 0.2621 0.0596
0.0000 0.0000 0.5000
0.5775 0.1551 0.2500
0.7418 0.4836 0.6054
0.2582 0.5164 0.3946
0.7418 0.4836 0.8946
0.0000 0.0000 0.0000
0.2582 0.5164 0.1054
0.4225 0.8449 0.7500
0.8937 0.7874 0.2500
0.1063 0.2126 0.7500
```

Output
E_form (uncorrected): -1.436 eV per atom
ρ: 5.0 g/cm³
Calculated total energy: -48.374 eV/f.u.

[6]
First-principles (GGA-PBE) data for crystalline Ca4PrZn5 at its relaxed geometry, as listed in Alexandria via LeMat-Bulk.

```
Ca4PrZn5
1.0
-3.1034 -1.9524 0.4161
0.8602 -2.0021 -2.9779
8.9944 -12.0210 10.6804
Zn Ca Pr
5 4 1
Direct
0.5000 0.5000 0.8997
0.5000 0.5000 0.6991
0.5000 0.5000 0.3009
0.5000 0.5000 0.1003
0.5000 0.5000 0.5000
0.0000 0.0000 0.7985
0.0000 0.0000 0.4000
0.0000 0.0000 0.6000
0.0000 0.0000 0.2015
0.0000 0.0000 0.0000
```

Output
E_form: -0.2482 eV/atom
ρ: 4.2 g/cm³
Calculated total energy: -21.638 eV/f.u.